Compound: Ho5Ge5Rh2
Source: Alexandria via LeMat-Bulk
Functional: PBE-GGA
Structure: optimized geometry

POSCAR file:
```
Ho5Ge5Rh2
1.0
7.551 -2.109 0.000
7.551 2.109 0.000
-7.050 0.000 8.085
Ho Ge Rh
5 5 2
Direct
0.000 0.000 0.000
0.118 0.118 0.420
0.192 0.192 0.822
0.808 0.808 0.178
0.882 0.882 0.580
0.256 0.256 0.305
0.440 0.440 0.161
0.500 0.500 0.500
0.560 0.560 0.839
0.744 0.744 0.695
0.357 0.357 0.750
0.643 0.643 0.250
```

Summary:
crystal system = monoclinic
VASP energy = -5.885 eV/atom
energy relative to the elements = -828 meV per atom